Compound: Ca2Mo2As
Source: Alexandria
Functional: PBE
Structure: optimized geometry

Unit cell a=3.5544 b=3.5544 c=9.8020 alpha=79.55 beta=79.55 gamma=90.00
Fractional coordinates of all 5 atoms:
Mo 0.7500 0.2500 0.5000
As 0.0000 0.0000 0.0000
Ca 0.5944 0.5944 0.8111
Mo 0.2500 0.7500 0.5000
Ca 0.4056 0.4056 0.1889

## Properties
* ΔE to the lowest computed polymorph: 0 meV per atom
* total energy: -5.991 eV per atom
* formation energy from the elements: 0.072 eV per atom
* total magnetic moment: 0.001 μB/f.u.